Entry 1:
Y2MgCdN: relaxed, PBE.

POSCAR file:
```
Y2MgCdN
1.0
-2.701 1.368 -3.802
1.628 -3.817 -2.530
-3.339 -2.419 1.501
Cd Y Mg N
1 2 1 1
direct
0.500 0.500 0.500
0.500 0.000 0.000
0.000 0.500 0.000
0.000 0.000 0.500
0.000 0.000 0.000
```

Computed properties:
Symmetry: No. 123
ΔE_f (raw) in meV/atom: -718



Entry 2:
Pa3GeN3: relaxed, PBE.

POSCAR file:
```
Pa3GeN3
1.0
-2.498 -1.225 6.128
4.013 -2.365 4.858
1.996 5.213 5.551
N Pa Ge
6 6 2
direct
0.873 0.545 0.377
0.545 0.205 0.377
0.127 0.455 0.623
0.795 0.127 0.623
0.455 0.795 0.623
0.205 0.873 0.377
0.903 0.242 0.290
0.097 0.758 0.710
0.565 0.903 0.290
0.435 0.097 0.710
0.758 0.435 0.710
0.242 0.565 0.290
0.333 0.333 0.000
0.667 0.667 0.000
```

Computed properties:
Symmetry: No. 148
ΔE_f (raw) in meV/atom: -1304



Entry 3:
Ac2ZnHgPt: relaxed, PBE.

POSCAR file:
```
Ac2ZnHgPt
1.0
4.663 0.000 0.000
0.000 7.008 0.819
0.000 -2.169 8.797
Zn Pt Ac Hg
2 2 4 2
direct
0.750 0.497 0.363
0.250 0.503 0.637
0.250 0.780 0.856
0.750 0.220 0.144
0.750 0.831 0.645
0.250 0.233 0.925
0.750 0.767 0.075
0.250 0.169 0.355
0.750 0.305 0.649
0.250 0.695 0.351
```

Computed properties:
Symmetry: No. 11
Energy of formation in meV/atom: -645



Entry 4:
Na3Eu5Br12: relaxed, PBE.

POSCAR file:
```
Na3Eu5Br12
1.0
-8.264 11.762 7.011
-7.463 -4.497 -13.412
1.028 -12.467 9.966
Br Eu Na
48 20 12
direct
0.717 0.124 0.043
0.174 0.082 0.957
0.457 0.783 0.876
0.376 0.957 0.783
0.826 0.918 0.043
0.918 0.826 0.543
0.907 0.082 0.624
0.593 0.717 0.674
0.124 0.717 0.543
0.217 0.543 0.624
0.593 0.876 0.418
0.124 0.407 0.082
0.376 0.418 0.093
0.043 0.624 0.717
0.093 0.918 0.376
0.957 0.376 0.283
0.957 0.582 0.174
0.082 0.174 0.457
0.283 0.876 0.957
0.043 0.418 0.826
0.543 0.217 0.124
0.826 0.907 0.283
0.876 0.283 0.457
0.326 0.543 0.418
0.674 0.217 0.593
0.783 0.457 0.376
0.082 0.907 0.124
0.457 0.674 0.082
0.093 0.174 0.217
0.407 0.124 0.582
0.217 0.674 0.093
0.674 0.457 0.582
0.717 0.593 0.174
0.407 0.283 0.326
0.624 0.582 0.907
0.283 0.407 0.826
0.907 0.826 0.783
0.326 0.783 0.407
0.624 0.043 0.217
0.582 0.624 0.407
0.418 0.376 0.593
0.918 0.093 0.876
0.418 0.043 0.326
0.543 0.326 0.918
0.174 0.093 0.717
0.582 0.957 0.674
0.876 0.593 0.918
0.783 0.326 0.907
0.125 0.375 0.250
0.500 0.500 0.000
0.875 0.250 0.625
0.000 0.500 0.000
0.500 0.000 0.000
0.375 0.125 0.750
0.500 0.000 0.500
0.250 0.875 0.125
0.750 0.125 0.875
0.500 0.500 0.500
0.625 0.875 0.250
0.375 0.250 0.125
0.000 0.000 0.500
0.875 0.625 0.750
0.000 0.500 0.500
0.750 0.625 0.375
0.000 0.000 0.000
0.125 0.750 0.375
0.625 0.750 0.875
0.250 0.375 0.625
0.125 0.875 0.750
0.875 0.750 0.125
0.375 0.750 0.625
0.375 0.625 0.250
0.625 0.375 0.750
0.625 0.250 0.375
0.875 0.125 0.250
0.250 0.125 0.375
0.750 0.875 0.625
0.125 0.250 0.875
0.750 0.375 0.125
0.250 0.625 0.875
```

Computed properties:
Symmetry: No. 230
ΔE_f (raw) in meV/atom: -1693



Entry 5:
AgBiMo2: relaxed, PBE.

POSCAR file:
```
AgBiMo2
1.0
-3.358 5.520 4.141
-6.784 -3.486 -0.853
-4.613 -0.439 3.956
Mo Ag Bi
4 2 2
direct
0.375 0.375 0.750
0.625 0.125 0.250
0.875 0.875 0.750
0.125 0.625 0.250
0.500 0.500 0.000
0.250 0.750 0.500
0.750 0.250 0.500
0.000 0.000 0.000
```

Computed properties:
Symmetry: No. 122
Energy of formation in meV/atom: 1143



Entry 6:
Cu2AsRu: relaxed, PBE.

POSCAR file:
```
Cu2AsRu
1.0
8.467 -0.032 -0.019
8.013 2.734 -0.019
8.013 1.314 2.398
As Ru Cu
1 1 2
direct
0.750 0.750 0.750
0.250 0.250 0.250
0.499 0.499 0.499
0.001 0.001 0.001
```

Computed properties:
Symmetry: No. 166
Energy of formation in meV/atom: 335



Entry 7:
RbInBi4: relaxed, PBE.

POSCAR file:
```
RbInBi4
1.0
6.245 0.000 1.484
0.000 7.650 0.000
-0.509 -3.825 9.317
In Rb Bi
2 2 8
direct
0.708 0.453 0.905
0.292 0.547 0.095
0.582 0.885 0.770
0.418 0.115 0.230
0.130 0.112 0.641
0.130 0.528 0.641
0.431 0.696 0.393
0.000 0.218 0.000
0.569 0.304 0.607
0.870 0.472 0.359
0.870 0.888 0.359
0.000 0.782 0.000
```

Computed properties:
Symmetry: No. 12
Energy of formation in meV/atom: -94



Entry 8:
Ba2CuSiPd: relaxed, PBE.

POSCAR file:
```
Ba2CuSiPd
1.0
-3.143 -2.786 -4.417
3.687 -0.854 -2.086
0.472 -5.286 2.998
Si Ba Cu Pd
1 2 1 1
direct
0.000 0.500 0.000
0.000 0.000 0.500
0.500 0.000 0.000
0.000 0.000 0.000
0.500 0.500 0.500
```

Computed properties:
Symmetry: No. 123
ΔE_f (raw) in meV/atom: -84